No. 1
IrAu2Br | Alexandria via LeMat-Bulk | meta-GGA SCAN | PBEsol geometry; relative energy among the computed polymorphs = 49 meV per atom
1.0
1.404 -2.505 0.000
1.404 2.505 0.000
0.000 0.000 10.049
Ir Au Br
1 2 1
Direct
0.000 0.000 0.000 Ir
0.500 0.500 0.232 Au
0.500 0.500 0.768 Au
0.000 0.000 0.500 Br

---

No. 2
IrAuSe2Br | Alexandria via LeMat-Bulk | meta-GGA SCAN | PBEsol geometry; total DFT energy (no corrections) = -38.55 eV per atom
1.0
4.968 0.000 0.000
0.000 4.968 0.000
0.000 0.000 4.903
Ir Au Se Br
1 1 2 1
Direct
0.000 0.000 0.000 Ir
0.500 0.500 0.500 Au
0.000 0.500 0.500 Se
0.500 0.000 0.500 Se
0.500 0.500 0.000 Br

---

No. 3
K2AuBr | Alexandria via LeMat-Bulk | meta-GGA SCAN | PBEsol geometry; relative energy among the computed polymorphs = 22 meV per atom
1.0
6.045 -2.037 0.000
6.045 2.037 0.000
-0.005 0.000 5.222
K Au Br
2 1 1
Direct
0.000 0.000 0.000 K
0.239 0.239 0.502 K
0.508 0.508 0.500 Au
0.730 0.730 0.002 Br

---

No. 4
K2AuBr | Alexandria via LeMat-Bulk | meta-GGA SCAN | PBEsol geometry; relative energy among the computed polymorphs = 42 meV per atom
1.0
-2.074 2.102 7.958
2.074 -2.102 7.958
2.074 2.102 -7.958
K Au Br
2 1 1
Direct
0.000 0.000 0.000 K
0.745 0.245 0.500 K
0.339 0.839 0.500 Au
0.587 0.587 0.000 Br

---

No. 5
K2AuBr | Alexandria via LeMat-Bulk | meta-GGA SCAN | PBEsol geometry; relative energy among the computed polymorphs = 0 meV per atom
1.0
2.304 1.330 7.687
-2.304 1.330 7.687
0.000 -2.660 7.687
K Au Br
2 1 1
Direct
0.248 0.248 0.248 K
0.752 0.752 0.752 K
0.000 0.000 0.000 Au
0.500 0.500 0.500 Br

---

No. 6
K2AuBr | Alexandria via LeMat-Bulk | meta-GGA SCAN | PBEsol geometry; relative energy among the computed polymorphs = 17 meV per atom
1.0
0.000 3.918 3.918
3.918 0.000 3.918
3.918 3.918 0.000
K Au Br
2 1 1
Direct
0.250 0.250 0.250 K
0.750 0.750 0.750 K
0.000 0.000 0.000 Au
0.500 0.500 0.500 Br

---

No. 7
K2AuBr | Alexandria via LeMat-Bulk | meta-GGA SCAN | PBEsol geometry; relative energy among the computed polymorphs = 2 meV per atom
1.0
6.570 0.000 0.000
0.000 3.280 3.280
0.000 -3.280 3.280
K Au Br
2 1 1
Direct
0.000 0.000 0.000 K
0.500 0.498 0.498 K
0.000 0.500 0.500 Au
0.500 0.998 0.998 Br

---

No. 8
K2TlAuBr6 | Alexandria via LeMat-Bulk | meta-GGA SCAN | PBEsol geometry; total DFT energy (no corrections) = -28.46 eV per atom
1.0
0.000 5.479 5.479
5.479 0.000 5.479
5.479 5.479 0.000
K Tl Au Br
2 1 1 6
Direct
0.250 0.250 0.250 K
0.750 0.750 0.750 K
0.000 0.000 0.000 Tl
0.500 0.500 0.500 Au
0.258 0.258 0.742 Br
0.258 0.742 0.258 Br
0.258 0.742 0.742 Br
0.742 0.258 0.258 Br
0.742 0.258 0.742 Br
0.742 0.742 0.258 Br

---

Number 1: magnetization 0.00 μB/f.u.. Number 2: magnetization 2.95 μB/f.u.. Number 3: magnetization 0.00 μB/f.u.. Number 4: magnetization 0.00 μB/f.u.. Number 5: magnetization 0.00 μB/f.u.. Number 6: magnetization 0.00 μB/f.u.. Number 7: magnetization 0.00 μB/f.u.. Number 8: magnetization 0.00 μB/f.u..